Entry 1:
First-principles (meta-GGA SCAN) data for a PBEsol-optimized structure of BeFeNi, as listed in the Alexandria database.

The value obtained for the formation energy is -0.272 eV per atom. The density of states at the Fermi level is 0.469 states/eV per atom.

Cell and atoms, written as CIF:
```
data_BeFeNi
_space_group_name_H-M_alt 'P 1'
_space_group_IT_number 1
_space_group_name_Hall 'P 1'
_cell_length_a 4.9181
_cell_length_b 4.9181
_cell_length_c 4.9181
_cell_angle_alpha 150.85
_cell_angle_beta 150.85
_cell_angle_gamma 41.69
loop_
_atom_site_label
_atom_site_fract_x
_atom_site_fract_y
_atom_site_fract_z
_atom_site_occupancy
Be1 0.0000 0.0000 0.0000 1
Fe1 0.6624 0.6624 0.0000 1
Ni1 0.3519 0.3519 0.0000 1
```

Entry 2:
First-principles (meta-GGA SCAN) data for a PBEsol-optimized structure of LiFe3C, as listed in the Alexandria database.

As for the polymorph energy (0 for the lowest one): 0.0 meV per atom. The value obtained for the formation energy is 0.197 eV per atom. The density of states at the Fermi level is 1.004 states/eV per atom.

Cell and atoms, written as CIF:
```
data_LiFe3C
_space_group_name_H-M_alt 'P 1'
_space_group_IT_number 1
_space_group_name_Hall 'P 1'
_cell_length_a 3.7263
_cell_length_b 3.7263
_cell_length_c 3.7263
_cell_angle_alpha 90.00
_cell_angle_beta 90.00
_cell_angle_gamma 90.00
loop_
_atom_site_label
_atom_site_fract_x
_atom_site_fract_y
_atom_site_fract_z
_atom_site_occupancy
Li1 0.0000 0.0000 0.0000 1
Fe1 0.0000 0.5000 0.5000 1
Fe2 0.5000 0.0000 0.5000 1
Fe3 0.5000 0.5000 0.0000 1
C1 0.5000 0.5000 0.5000 1
```

Entry 3:
First-principles (meta-GGA SCAN) data for a PBEsol-optimized structure of In, as listed in the Alexandria database.

As for the polymorph energy (0 for the lowest one): 66.1 meV per atom. The value obtained for the formation energy is 0.066 eV per atom. The density of states at the Fermi level is 0.383 states/eV per atom.

Cell and atoms, written as CIF:
```
data_In
_space_group_name_H-M_alt 'P 1'
_space_group_IT_number 1
_space_group_name_Hall 'P 1'
_cell_length_a 9.8845
_cell_length_b 9.8845
_cell_length_c 9.8845
_cell_angle_alpha 109.47
_cell_angle_beta 109.47
_cell_angle_gamma 109.47
loop_
_atom_site_label
_atom_site_fract_x
_atom_site_fract_y
_atom_site_fract_z
_atom_site_occupancy
In1 0.0000 0.0000 0.0000 1
In2 0.0000 0.0000 0.6552 1
In3 0.0000 0.1926 0.3804 1
In4 0.0000 0.3804 0.1926 1
In5 0.0000 0.4102 0.6896 1
In6 0.0000 0.6552 0.0000 1
In7 0.0000 0.6896 0.4102 1
In8 0.1878 0.8074 0.8074 1
In9 0.1926 0.0000 0.3804 1
In10 0.1926 0.3804 0.0000 1
In11 0.2794 0.5898 0.5898 1
In12 0.3104 0.3104 0.7206 1
In13 0.3104 0.7206 0.3104 1
In14 0.3448 0.3448 0.3448 1
In15 0.3804 0.0000 0.1926 1
In16 0.3804 0.1926 0.0000 1
In17 0.4102 0.0000 0.6896 1
In18 0.4102 0.6896 0.0000 1
In19 0.5898 0.2794 0.5898 1
In20 0.5898 0.5898 0.2794 1
In21 0.6196 0.6196 0.8122 1
In22 0.6196 0.8122 0.6196 1
In23 0.6552 0.0000 0.0000 1
In24 0.6896 0.0000 0.4102 1
In25 0.6896 0.4102 0.0000 1
In26 0.7206 0.3104 0.3104 1
In27 0.8074 0.1878 0.8074 1
In28 0.8074 0.8074 0.1878 1
In29 0.8122 0.6196 0.6196 1
```

Entry 4:
First-principles (meta-GGA SCAN) data for a PBEsol-optimized structure of K2SiW, as listed in the Alexandria database.

The value obtained for the final energy is -91.33 eV per cell. The density of states at the Fermi level is 0.591 states/eV per atom.

Cell and atoms, written as CIF:
```
data_K2SiW
_space_group_name_H-M_alt 'P 1'
_space_group_IT_number 1
_space_group_name_Hall 'P 1'
_cell_length_a 2.8190
_cell_length_b 5.3062
_cell_length_c 5.7639
_cell_angle_alpha 90.00
_cell_angle_beta 90.00
_cell_angle_gamma 90.00
loop_
_atom_site_label
_atom_site_fract_x
_atom_site_fract_y
_atom_site_fract_z
_atom_site_occupancy
K1 0.0000 0.2492 0.0000 1
K2 0.0000 0.7508 0.0000 1
Si1 0.5000 0.0000 0.5000 1
W1 0.5000 0.5000 0.5000 1
```

Entry 5:
First-principles (meta-GGA SCAN) data for a PBEsol-optimized structure of Cu2POs, as listed in the Alexandria database.

The value obtained for the formation energy is 0.237 eV per atom. The density of states at the Fermi level is 0.464 states/eV per atom.

Cell and atoms, written as CIF:
```
data_Cu2POs
_space_group_name_H-M_alt 'P 1'
_space_group_IT_number 1
_space_group_name_Hall 'P 1'
_cell_length_a 4.6824
_cell_length_b 4.6824
_cell_length_c 4.6824
_cell_angle_alpha 140.53
_cell_angle_beta 130.16
_cell_angle_gamma 65.36
loop_
_atom_site_label
_atom_site_fract_x
_atom_site_fract_y
_atom_site_fract_z
_atom_site_occupancy
Cu1 0.0000 0.0000 0.0000 1
Cu2 0.7233 0.2233 0.5000 1
P1 0.4989 0.4989 0.0000 1
Os1 0.2792 0.7792 0.5000 1
```

Entry 6:
First-principles (meta-GGA SCAN) data for a PBEsol-optimized structure of Tl2Ga2Sn, as listed in the Alexandria database.

The value obtained for the formation energy is 0.112 eV per atom. The density of states at the Fermi level is 0.471 states/eV per atom.

Cell and atoms, written as CIF:
```
data_Tl2Ga2Sn
_space_group_name_H-M_alt 'P 1'
_space_group_IT_number 1
_space_group_name_Hall 'P 1'
_cell_length_a 7.1960
_cell_length_b 7.1960
_cell_length_c 4.7394
_cell_angle_alpha 90.00
_cell_angle_beta 90.00
_cell_angle_gamma 90.00
loop_
_atom_site_label
_atom_site_fract_x
_atom_site_fract_y
_atom_site_fract_z
_atom_site_occupancy
Tl1 0.1782 0.3218 0.0000 1
Tl2 0.3218 0.8218 0.0000 1
Tl3 0.6782 0.1782 0.0000 1
Tl4 0.8218 0.6782 0.0000 1
Ga1 0.1274 0.6274 0.5000 1
Ga2 0.3726 0.1274 0.5000 1
Ga3 0.6274 0.8726 0.5000 1
Ga4 0.8726 0.3726 0.5000 1
Sn1 0.0000 0.0000 0.5000 1
Sn2 0.5000 0.5000 0.5000 1
```